# 1
SiRuSe2 PBE relaxed; final energy = -5.210 eV per atom; volume = 18.41 A^3/atom; SG = Imm2, No. 44
1.0
-1.4816 2.1897 5.6732
1.4816 -2.1897 5.6732
1.4816 2.1897 -5.6732
Si Ru Se
1 1 2
Cartesian
0.0000 0.0000 0.0000
1.4816 0.0000 2.0778
0.0000 0.0000 4.1623
0.0000 2.1897 1.6710


# 2
SiRuSe2 PBE relaxed; final energy = -5.603 eV per atom; volume = 20.53 A^3/atom; SG = R3m, No. 160
1.0
1.6600 0.9584 8.6020
-1.6600 0.9584 8.6020
0.0000 -1.9168 8.6020
Si Ru Se
1 1 2
Cartesian
0.0000 0.0000 0.0000
0.0000 0.0000 6.6792
0.0000 0.0000 13.8094
0.0000 0.0000 18.6855